First-principles (PBE-GGA) data for a relaxed structure of RbAcHgTe3, as listed in Alexandria via LeMat-Bulk.

Summary:
Symmetry: P2_1/m (11)
Raw formation energy, meV/atom: -1021
Uncorrected energy, eV per formula unit: -20.9
Total magnetization, μB/atom: 0.000

abc: 9.9306 4.7759 11.2019
angles: 90.00 105.55 90.00
Closest atoms and distances in Å follow each position.
Element x y z (fractional)
Rb 0.2225 0.2500 0.2570  6 Te 3.71-3.98
Rb 0.7775 0.7500 0.7430  6 Te 3.71-3.98
Ac 0.3165 0.7500 0.8599  6 Te 3.30-3.47
Ac 0.6835 0.2500 0.1401  6 Te 3.30-3.47
Hg 0.0894 0.2500 0.6193  4 Te 2.83-3.06
Hg 0.9106 0.7500 0.3807  4 Te 2.83-3.06
Te 0.0800 0.2500 0.8692  1 Hg 2.83
Te 0.2142 0.7500 0.5386  3 Hg 2.94-3.06
Te 0.4601 0.7500 0.1621  3 Ac 3.30-3.31
Te 0.5399 0.2500 0.8379  3 Ac 3.30-3.31
Te 0.7858 0.2500 0.4614  3 Hg 2.94-3.06
Te 0.9200 0.7500 0.1308  1 Hg 2.83



First-principles (PBE-GGA) data for a relaxed structure of La2NdGaCo, as listed in Alexandria via LeMat-Bulk.

Summary:
Formation energy, kJ/mol of atoms: -15.9
Symmetry: P4mm (99)
Uncorrected energy, eV per formula unit: -25.6
Total magnetization, μB/atom: 0.000
Fermi-level density of states, states/eV/cell: 5.4

abc: 5.1623 5.1623 5.4406
angles: 90.00 90.00 90.00
Closest atoms and distances in Å follow each position.
Element x y z (fractional)
La 0.0000 0.5000 0.0000  2 Co 2.58
La 0.5000 0.0000 0.0000  2 Co 2.58
Nd 0.0000 0.0000 0.5001  2 Co 2.72
Ga 0.5000 0.5000 0.5020  4 Nd 3.65, 8 La 3.74-3.76
Co 0.0000 0.0000 0.0002  4 La 2.58, 2 Nd 2.72